[1]
A geometry-optimized BaV6S8 structure. Source: Alexandria via LeMat-Bulk, functional PBE-GGA. Values from VASP.

Computed properties:
Space-group type ... No. 148
Formation energy (no corrections) ... -1543 kJ/mol of formula units
DFT total energy ... -7.043 eV/atom

Geometry as Quantum ESPRESSO input:
```
&SYSTEM
  ibrav = 0, nat = 15, ntyp = 3
/
ATOMIC_SPECIES
Ba 137.33 Ba.upf
V 50.94 V.upf
S 32.06 S.upf
CELL_PARAMETERS angstrom
4.532 2.617 3.858
-4.532 2.617 3.858
0.000 -5.233 3.858
ATOMIC_POSITIONS crystal
Ba 0.000 0.000 0.000
V 0.213 0.412 0.566
V 0.412 0.566 0.213
V 0.434 0.787 0.588
V 0.566 0.213 0.412
V 0.588 0.434 0.787
V 0.787 0.588 0.434
S 0.127 0.728 0.400
S 0.255 0.255 0.255
S 0.272 0.600 0.873
S 0.400 0.127 0.728
S 0.600 0.873 0.272
S 0.728 0.400 0.127
S 0.745 0.745 0.745
S 0.873 0.272 0.600
```

=====

[2]
A geometry-optimized Ba2V2S structure. Source: Alexandria via LeMat-Bulk, functional PBE-GGA. Values from VASP.

Computed properties:
Space-group type ... No. 127
Formation energy (no corrections) ... 182 kJ/mol of formula units
DFT total energy ... -4.865 eV/atom
E above lowest polymorph ... 461.0 meV/atom

Geometry as Quantum ESPRESSO input:
```
&SYSTEM
  ibrav = 0, nat = 10, ntyp = 3
/
ATOMIC_SPECIES
Ba 137.33 Ba.upf
V 50.94 V.upf
S 32.06 S.upf
CELL_PARAMETERS angstrom
8.718 0.000 0.000
0.000 8.718 0.000
0.000 0.000 4.767
ATOMIC_POSITIONS crystal
Ba 0.206 0.294 0.000
Ba 0.294 0.794 0.000
Ba 0.706 0.206 0.000
Ba 0.794 0.706 0.000
V 0.073 0.573 0.500
V 0.427 0.073 0.500
V 0.573 0.927 0.500
V 0.927 0.427 0.500
S 0.000 0.000 0.000
S 0.500 0.500 0.000
```

=====

[3]
A geometry-optimized BaV4S8 structure. Source: Alexandria via LeMat-Bulk, functional PBE-GGA. Values from VASP.

Computed properties:
Space-group type ... No. 216
Formation energy (no corrections) ... -1071 kJ/mol of formula units
DFT total energy ... -6.347 eV/atom

Geometry as Quantum ESPRESSO input:
```
&SYSTEM
  ibrav = 0, nat = 13, ntyp = 3
/
ATOMIC_SPECIES
Ba 137.33 Ba.upf
V 50.94 V.upf
S 32.06 S.upf
CELL_PARAMETERS angstrom
0.000 5.187 5.187
5.187 0.000 5.187
5.187 5.187 0.000
ATOMIC_POSITIONS crystal
Ba 0.000 0.000 0.000
V 0.166 0.611 0.611
V 0.611 0.166 0.611
V 0.611 0.611 0.166
V 0.611 0.611 0.611
S 0.381 0.381 0.381
S 0.381 0.381 0.858
S 0.381 0.858 0.381
S 0.459 0.847 0.847
S 0.847 0.459 0.847
S 0.847 0.847 0.459
S 0.847 0.847 0.847
S 0.858 0.381 0.381
```

=====

[4]
A geometry-optimized Ba2V2S structure. Source: Alexandria via LeMat-Bulk, functional PBE-GGA. Values from VASP.

Computed properties:
Space-group type ... No. 139
Formation energy (no corrections) ... -41 kJ/mol of formula units
DFT total energy ... -5.326 eV/atom
E above lowest polymorph ... 0.0 meV/atom

Geometry as Quantum ESPRESSO input:
```
&SYSTEM
  ibrav = 0, nat = 10, ntyp = 3
/
ATOMIC_SPECIES
Ba 137.33 Ba.upf
V 50.94 V.upf
S 32.06 S.upf
CELL_PARAMETERS angstrom
3.595 0.000 0.000
0.000 3.595 0.000
0.000 0.000 20.547
ATOMIC_POSITIONS crystal
Ba 0.000 0.000 0.092
Ba 0.000 0.000 0.908
Ba 0.500 0.500 0.408
Ba 0.500 0.500 0.592
V 0.000 0.500 0.250
V 0.000 0.500 0.750
V 0.500 0.000 0.250
V 0.500 0.000 0.750
S 0.000 0.000 0.500
S 0.500 0.500 0.000
```

=====

[5]
A geometry-optimized Ba2V2S5 structure. Source: Alexandria via LeMat-Bulk, functional PBE-GGA. Values from VASP.

Computed properties:
Space-group type ... No. 12
Formation energy (no corrections) ... -1145 kJ/mol of formula units
DFT total energy ... -6.065 eV/atom

Geometry as Quantum ESPRESSO input:
```
&SYSTEM
  ibrav = 0, nat = 9, ntyp = 3
/
ATOMIC_SPECIES
Ba 137.33 Ba.upf
V 50.94 V.upf
S 32.06 S.upf
CELL_PARAMETERS angstrom
6.517 -2.418 0.000
6.517 2.418 0.000
-2.011 0.000 7.283
ATOMIC_POSITIONS crystal
Ba 0.101 0.101 0.301
Ba 0.899 0.899 0.699
V 0.348 0.348 0.114
V 0.652 0.652 0.886
S 0.175 0.175 0.923
S 0.356 0.356 0.418
S 0.500 0.500 0.000
S 0.644 0.644 0.582
S 0.825 0.825 0.077
```

=====

[6]
A geometry-optimized Ba3V5S12 structure. Source: Alexandria via LeMat-Bulk, functional PBE-GGA. Values from VASP.

Computed properties:
Space-group type ... No. 230
Formation energy (no corrections) ... -2260 kJ/mol of formula units
DFT total energy ... -6.216 eV/atom

Geometry as Quantum ESPRESSO input:
```
&SYSTEM
  ibrav = 0, nat = 80, ntyp = 3
/
ATOMIC_SPECIES
Ba 137.33 Ba.upf
V 50.94 V.upf
S 32.06 S.upf
CELL_PARAMETERS angstrom
-7.818 7.818 7.818
7.818 -7.818 7.818
7.818 7.818 -7.818
ATOMIC_POSITIONS crystal
Ba 0.125 0.250 0.375
Ba 0.125 0.375 0.750
Ba 0.250 0.375 0.125
Ba 0.250 0.875 0.625
Ba 0.375 0.125 0.250
Ba 0.375 0.750 0.125
Ba 0.625 0.250 0.875
Ba 0.625 0.875 0.750
Ba 0.750 0.125 0.375
Ba 0.750 0.625 0.875
Ba 0.875 0.625 0.250
Ba 0.875 0.750 0.625
V 0.000 0.000 0.000
V 0.000 0.000 0.500
V 0.000 0.500 0.000
V 0.000 0.500 0.500
V 0.125 0.750 0.875
V 0.125 0.875 0.250
V 0.250 0.125 0.875
V 0.250 0.625 0.375
V 0.375 0.250 0.625
V 0.375 0.625 0.750
V 0.500 0.000 0.000
V 0.500 0.000 0.500
V 0.500 0.500 0.000
V 0.500 0.500 0.500
V 0.625 0.375 0.250
V 0.625 0.750 0.375
V 0.750 0.375 0.625
V 0.750 0.875 0.125
V 0.875 0.125 0.750
V 0.875 0.250 0.125
S 0.005 0.192 0.105
S 0.005 0.313 0.900
S 0.087 0.692 0.687
S 0.087 0.895 0.400
S 0.100 0.605 0.413
S 0.100 0.995 0.687
S 0.105 0.005 0.192
S 0.105 0.600 0.913
S 0.187 0.192 0.587
S 0.187 0.495 0.600
S 0.192 0.105 0.005
S 0.192 0.587 0.187
S 0.308 0.313 0.913
S 0.308 0.495 0.395
S 0.313 0.900 0.005
S 0.313 0.913 0.308
S 0.395 0.308 0.495
S 0.395 0.587 0.900
S 0.400 0.087 0.895
S 0.400 0.813 0.505
S 0.413 0.100 0.605
S 0.413 0.813 0.808
S 0.495 0.395 0.308
S 0.495 0.600 0.187
S 0.505 0.400 0.813
S 0.505 0.605 0.692
S 0.587 0.187 0.192
S 0.587 0.900 0.395
S 0.600 0.187 0.495
S 0.600 0.913 0.105
S 0.605 0.413 0.100
S 0.605 0.692 0.505
S 0.687 0.087 0.692
S 0.687 0.100 0.995
S 0.692 0.505 0.605
S 0.692 0.687 0.087
S 0.808 0.413 0.813
S 0.808 0.895 0.995
S 0.813 0.505 0.400
S 0.813 0.808 0.413
S 0.895 0.400 0.087
S 0.895 0.995 0.808
S 0.900 0.005 0.313
S 0.900 0.395 0.587
S 0.913 0.105 0.600
S 0.913 0.308 0.313
S 0.995 0.687 0.100
S 0.995 0.808 0.895
```

=====

> Which of these has the lowest DFT total energy?

BaV6S8

=====

> Which formula does entry 5 have?

Ba2V2S5

=====

> What is the formula in the fifth record?

Ba2V2S5

=====

> Which of these has the lowest formation energy (no corrections)?

Ba3V5S12